[1]
Material: LaScPt2
Method: DFT, PBE
State: optimized geometry

**D(E_F)**: 5.826 states/eV/f.u.
**Uncorrected energy**: -6.59 eV/atom
**Spin magnetization**: 0.0 μB per formula unit

Cell: 4.819 4.819 4.819 Å, 60.00 60.00 60.00°
Sites, in units of the cell vectors:
La: 0.500 0.500 0.500
Pt: 0.000 0.000 0.000
Pt: 0.250 0.250 0.250
Sc: 0.750 0.750 0.750

=====

[2]
Material: BeFeTe4
Method: DFT, PBE
State: optimized geometry

**D(E_F)**: 8.019 states/eV/f.u.
**Uncorrected energy**: -2.91 eV/atom
**Spin magnetization**: 4.0 μB per formula unit

Cell: 6.268 6.268 6.268 Å, 60.00 60.00 60.00°
Each line ends with the local moment (μB).
Sites, in units of the cell vectors:
Be: 0.750 0.750 0.750  0.02
Fe: 0.000 0.000 0.000  3.37
Te: 0.874 0.375 0.375  0.05
Te: 0.375 0.375 0.874  0.05
Te: 0.375 0.874 0.375  0.05
Te: 0.375 0.375 0.375  0.05

=====

[3]
Material: KBeFe2
Method: DFT, PBE
State: optimized geometry

**D(E_F)**: 3.579 states/eV/f.u.
**Uncorrected energy**: -4.51 eV/atom
**Spin magnetization**: 4.8 μB per formula unit

Cell: 5.719 5.719 5.719 Å, 154.35 126.51 60.23°
Each line ends with the local moment (μB).
Sites, in units of the cell vectors:
Be: 0.250 0.750 0.500  -0.14
K: 0.750 0.250 0.500  -0.04
Fe: 0.052 0.052 0.000  2.61
Fe: 0.448 0.448 0.000  2.61

=====

[4]
Material: CsLiS2N
Method: DFT, PBE
State: optimized geometry

**D(E_F)**: 1.404 states/eV/f.u.
**Uncorrected energy**: -3.32 eV/atom
**Spin magnetization**: 3.2 μB per formula unit

Cell: 4.658 4.658 5.552 Å, 90.00 90.00 90.00°
Each line ends with the local moment (μB).
Sites, in units of the cell vectors:
Cs: 0.500 0.500 0.500  0.03
S: 0.000 0.500 0.000  0.15
S: 0.500 0.000 0.000  0.15
Li: 0.000 0.000 0.000  0.00
N: 0.000 0.000 0.500  1.77

=====

[5]
Material: ReAuCl2
Method: DFT, PBE
State: optimized geometry

**D(E_F)**: 1.926 states/eV/f.u.
**Uncorrected energy**: -3.96 eV/atom
**Excess energy over the best structure of this formula in the dataset**: 0.7711 eV per atom
**Spin magnetization**: 2.5 μB per formula unit

Cell: 5.659 5.530 3.102 Å, 68.46 99.75 124.00°
Each line ends with the local moment (μB).
Sites, in units of the cell vectors:
Re: 0.000 0.500 0.500  2.09
Au: 0.500 0.500 0.000  0.03
Cl: 0.000 0.000 0.000  0.03
Cl: 0.500 0.000 0.500  0.03

=====

[6]
Material: PaCrGa5
Method: DFT, PBE
State: optimized geometry

**D(E_F)**: 5.932 states/eV/f.u.
**Uncorrected energy**: -5.14 eV/atom
**Spin magnetization**: 2.5 μB per formula unit

Cell: 4.358 4.358 6.910 Å, 90.00 90.00 90.00°
Each line ends with the local moment (μB).
Sites, in units of the cell vectors:
Pa: 0.000 0.000 0.000  -0.07
Cr: 0.000 0.000 0.500  2.48
Ga: 0.500 0.000 0.696  -0.02
Ga: 0.000 0.500 0.696  -0.02
Ga: 0.500 0.500 0.000  0.00
Ga: 0.000 0.500 0.304  -0.02
Ga: 0.500 0.000 0.304  -0.02

=====

[7]
Material: FeCu2Ag
Method: DFT, PBE
State: optimized geometry

**D(E_F)**: 2.825 states/eV/f.u.
**Uncorrected energy**: -4.66 eV/atom
**Excess energy over the best structure of this formula in the dataset**: 0.0427 eV per atom
**Spin magnetization**: 2.7 μB per formula unit

Cell: 2.729 3.374 5.904 Å, 90.00 90.00 90.00°
Each line ends with the local moment (μB).
Sites, in units of the cell vectors:
Ag: 0.500 0.500 0.750  -0.02
Cu: 0.000 0.000 0.030  0.07
Cu: 0.000 0.000 0.470  0.07
Fe: 0.500 0.500 0.250  2.70

=====

[8]
Material: Cd2CoTe
Method: DFT, PBE
State: optimized geometry

**D(E_F)**: 4.930 states/eV/f.u.
**Uncorrected energy**: -2.64 eV/atom
**Spin magnetization**: 1.6 μB per formula unit

Cell: 4.899 4.899 3.918 Å, 90.00 90.00 112.26°
Each line ends with the local moment (μB).
Sites, in units of the cell vectors:
Cd: 0.000 0.000 0.000  0.00
Cd: 0.500 0.500 0.000  0.00
Co: 0.500 0.000 0.500  1.62
Te: 0.000 0.500 0.500  0.03